No. 1
First-principles (meta-GGA SCAN) data for a PBEsol-optimized structure of Mn2TcSe, as listed in Alexandria via LeMat-Bulk.

Properties
Total magnetization: 2.67 μB/f.u.
E_form (uncorrected): 0.1238 eV per atom

CIF file:
```
data_Mn2TcSe
_chemical_formula_sum 'Mn8 Tc4 Se4'
_cell_length_a 5.860
_cell_length_b 5.860
_cell_length_c 5.860
_cell_angle_alpha 90.00
_cell_angle_beta 90.00
_cell_angle_gamma 90.00
_space_group_name_H-M_alt 'F -4 3 m'
_space_group_IT_number 216
_space_group_name_Hall 'F -4 2 3'
loop_
_atom_site_label
_atom_site_fract_x
_atom_site_fract_y
_atom_site_fract_z
Mn1 0.000 0.000 0.000
Mn2 0.250 0.250 0.250
Tc1 0.250 0.250 0.750
Se1 0.000 0.000 0.500
```

=====

No. 2
First-principles (meta-GGA SCAN) data for a PBEsol-optimized structure of ZnIrO2F, as listed in Alexandria via LeMat-Bulk.

Properties
Total magnetization: 3.71 μB/f.u.
E_form (uncorrected): 0.0395 eV per atom

CIF file:
```
data_ZnIrO2F
_chemical_formula_sum 'Zn1 Ir1 O2 F1'
_cell_length_a 3.846
_cell_length_b 3.846
_cell_length_c 3.819
_cell_angle_alpha 90.00
_cell_angle_beta 90.00
_cell_angle_gamma 90.00
_space_group_name_H-M_alt 'P 4/m m m'
_space_group_IT_number 123
_space_group_name_Hall '-P 4 2'
loop_
_atom_site_label
_atom_site_fract_x
_atom_site_fract_y
_atom_site_fract_z
Zn1 0.000 0.000 0.000
Ir1 0.500 0.500 0.500
O1 0.000 0.500 0.000
F1 0.000 0.000 0.500
```

=====

No. 3
First-principles (meta-GGA SCAN) data for a PBEsol-optimized structure of Nb3GaRh, as listed in Alexandria via LeMat-Bulk.

Properties
Uncorrected energy: -28.75 eV/atom
Total magnetization: 0.00 μB/f.u.

CIF file:
```
data_Nb3GaRh
_chemical_formula_sum 'Nb3 Ga1 Rh1'
_cell_length_a 4.626
_cell_length_b 4.626
_cell_length_c 4.626
_cell_angle_alpha 90.00
_cell_angle_beta 90.00
_cell_angle_gamma 90.00
_space_group_name_H-M_alt 'P m -3 m'
_space_group_IT_number 221
_space_group_name_Hall '-P 4 2 3'
loop_
_atom_site_label
_atom_site_fract_x
_atom_site_fract_y
_atom_site_fract_z
Nb1 0.000 0.000 0.500
Ga1 0.000 0.000 0.000
Rh1 0.500 0.500 0.500
```

=====

No. 4
First-principles (meta-GGA SCAN) data for a PBEsol-optimized structure of LaPt2Br, as listed in Alexandria via LeMat-Bulk.

Properties
Energy above the most stable polymorph in this dataset: 210.4 meV per atom
Total magnetization: 0.00 μB/f.u.
E_form (uncorrected): -0.5472 eV per atom

CIF file:
```
data_LaPt2Br
_chemical_formula_sum 'La4 Pt8 Br4'
_cell_length_a 5.729
_cell_length_b 5.835
_cell_length_c 10.093
_cell_angle_alpha 90.00
_cell_angle_beta 90.00
_cell_angle_gamma 90.00
_space_group_name_H-M_alt 'F m m m'
_space_group_IT_number 69
_space_group_name_Hall '-F 2 2'
loop_
_atom_site_label
_atom_site_fract_x
_atom_site_fract_y
_atom_site_fract_z
La1 0.000 0.000 0.000
Pt1 0.000 0.250 0.250
Br1 0.000 0.000 0.500
```

=====

No. 5
First-principles (meta-GGA SCAN) data for a PBEsol-optimized structure of V2CrS4, as listed in Alexandria via LeMat-Bulk.

Properties
Total magnetization: 2.98 μB/f.u.
E_form (uncorrected): -1.1038 eV per atom

CIF file:
```
data_V2CrS4
_chemical_formula_sum 'V4 Cr2 S8'
_cell_length_a 12.128
_cell_length_b 3.214
_cell_length_c 5.761
_cell_angle_alpha 90.00
_cell_angle_beta 115.54
_cell_angle_gamma 90.00
_space_group_name_H-M_alt 'C 1 2/m 1'
_space_group_IT_number 12
loop_
_space_group_symop_operation_xyz
'x,y,z'
'-x,-y,-z'
'-x,y,-z'
'x,-y,z'
'x+1/2,y+1/2,z'
'-x+1/2,-y+1/2,-z'
'-x+1/2,y+1/2,-z'
'x+1/2,-y+1/2,z'
loop_
_atom_site_label
_atom_site_fract_x
_atom_site_fract_y
_atom_site_fract_z
V1 0.241 0.000 0.183
Cr1 0.000 0.500 0.500
S1 0.105 0.500 0.947
S2 0.139 0.000 0.477
```

=====

No. 6
First-principles (meta-GGA SCAN) data for a PBEsol-optimized structure of Y2AsPb, as listed in Alexandria via LeMat-Bulk.

Properties
Energy above the most stable polymorph in this dataset: 269.4 meV per atom
Total magnetization: 0.00 μB/f.u.

CIF file:
```
data_Y2AsPb
_chemical_formula_sum 'Y2 As1 Pb1'
_cell_length_a 3.512
_cell_length_b 3.512
_cell_length_c 7.939
_cell_angle_alpha 90.00
_cell_angle_beta 90.00
_cell_angle_gamma 90.00
_space_group_name_H-M_alt 'P 4/m m m'
_space_group_IT_number 123
_space_group_name_Hall '-P 4 2'
loop_
_atom_site_label
_atom_site_fract_x
_atom_site_fract_y
_atom_site_fract_z
Y1 0.000 0.000 0.212
As1 0.500 0.500 0.000
Pb1 0.500 0.500 0.500
```